Entry 1:
The following is a PBE calculation of crystalline Ag2HgF5 at its relaxed geometry, from Alexandria.

```
Ag2HgF5
1.0
4.482 0.000 0.000
-2.241 5.816 0.000
0.000 0.000 11.626
F Hg Ag
10 2 4
direct
0.069 0.138 0.108
0.931 0.862 0.892
0.322 0.644 0.086
0.795 0.589 0.250
0.931 0.862 0.608
0.205 0.411 0.750
0.678 0.356 0.586
0.069 0.138 0.392
0.678 0.356 0.914
0.322 0.644 0.414
0.802 0.603 0.750
0.198 0.397 0.250
0.142 0.284 0.569
0.858 0.716 0.431
0.142 0.284 0.931
0.858 0.716 0.069
```

Values from the calculation:
The calculation puts the uncorrected formation energy at -1.20 eV/atom. The calculation puts the energy above the most stable polymorph in this dataset at 14.9 meV per atom.

***

Entry 2:
The following is a PBE calculation of crystalline AgHg2F4 at its relaxed geometry, from Alexandria.

```
AgHg2F4
1.0
6.445 -0.627 -3.045
-3.722 6.057 -1.064
-0.370 0.603 7.154
Hg F Ag
4 8 2
direct
0.250 0.875 0.625
0.750 0.375 0.125
0.750 0.375 0.625
0.250 0.375 0.625
0.224 0.624 0.845
0.776 0.621 0.400
0.224 0.600 0.379
0.276 0.126 0.405
0.724 0.129 0.850
0.724 0.595 0.874
0.776 0.155 0.376
0.276 0.150 0.871
0.500 0.750 0.250
0.000 0.000 0.000
```

Values from the calculation:
The calculation puts the uncorrected formation energy at -1.14 eV/atom. The calculation puts the energy above the most stable polymorph in this dataset at 34.4 meV per atom.

***

Entry 3:
The following is a PBE calculation of crystalline Ag2HgF at its relaxed geometry, from Alexandria.

```
Ag2HgF
1.0
-0.783 1.375 -3.733
-0.106 -3.933 -1.426
-4.105 -0.178 0.796
Ag Hg F
2 1 1
direct
0.000 0.000 0.500
0.000 0.500 0.000
0.500 0.500 0.500
0.500 0.000 0.000
```

Values from the calculation:
The calculation puts the uncorrected formation energy at -0.38 eV/atom. The calculation puts the energy above the most stable polymorph in this dataset at 116.0 meV per atom.

***

Please write out number 3 again, unchanged.
The following is a PBE calculation of crystalline Ag2HgF at its relaxed geometry, from Alexandria.

```
Ag2HgF
1.0
-0.783 1.375 -3.733
-0.106 -3.933 -1.426
-4.105 -0.178 0.796
Ag Hg F
2 1 1
direct
0.000 0.000 0.500
0.000 0.500 0.000
0.500 0.500 0.500
0.500 0.000 0.000
```

Values from the calculation:
The calculation puts the uncorrected formation energy at -0.38 eV/atom. The calculation puts the energy above the most stable polymorph in this dataset at 116.0 meV per atom.